# Sc2TlW | Alexandria | GGA-PBEsol | relaxed
data_Sc2TlW
_chemical_formula_sum 'Sc2 Tl1 W1'
_cell_length_a 2.992
_cell_length_b 2.992
_cell_length_c 9.160
_cell_angle_alpha 90.00
_cell_angle_beta 90.00
_cell_angle_gamma 102.27
_space_group_name_H-M_alt 'P 1'
_space_group_IT_number 1
loop_
_space_group_symop_operation_xyz
'x,y,z'
loop_
_atom_site_label
_atom_site_fract_x
_atom_site_fract_y
_atom_site_fract_z
_atom_site_occupancy
Tl1 0.500 0.500 0.500 1
Sc1 0.000 0.000 0.773 1
Sc2 0.000 0.000 0.227 1
W1 0.500 0.500 0.000 1
# Space-group type: No. 65
# E_form, eV per atom: 0.046



# ScTl2W | Alexandria | GGA-PBEsol | relaxed
data_ScTl2W
_chemical_formula_sum 'Sc1 Tl2 W1'
_cell_length_a 4.298
_cell_length_b 4.298
_cell_length_c 5.222
_cell_angle_alpha 114.30
_cell_angle_beta 114.30
_cell_angle_gamma 90.00
_space_group_name_H-M_alt 'P 1'
_space_group_IT_number 1
loop_
_space_group_symop_operation_xyz
'x,y,z'
loop_
_atom_site_label
_atom_site_fract_x
_atom_site_fract_y
_atom_site_fract_z
_atom_site_occupancy
Sc1 0.000 0.000 0.000 1
Tl1 0.250 0.750 0.500 1
Tl2 0.750 0.250 0.500 1
W1 0.500 0.500 0.000 1
# Space-group type: No. 139
# E_form, eV per atom: 0.384



# ScTlW2 | Alexandria | GGA-PBEsol | relaxed
data_ScTlW2
_chemical_formula_sum 'Sc1 Tl1 W2'
_cell_length_a 3.945
_cell_length_b 3.945
_cell_length_c 4.556
_cell_angle_alpha 90.00
_cell_angle_beta 90.00
_cell_angle_gamma 90.00
_space_group_name_H-M_alt 'P 1'
_space_group_IT_number 1
loop_
_space_group_symop_operation_xyz
'x,y,z'
loop_
_atom_site_label
_atom_site_fract_x
_atom_site_fract_y
_atom_site_fract_z
_atom_site_occupancy
W1 0.000 0.500 0.000 1
W2 0.500 0.000 0.000 1
Tl1 0.000 0.000 0.500 1
Sc1 0.500 0.500 0.500 1
# Space-group type: No. 123
# E_form, eV per atom: 0.442



# Y2ScTl | Alexandria | GGA-PBEsol | relaxed
data_Y2ScTl
_chemical_formula_sum 'Y2 Sc1 Tl1'
_cell_length_a 3.736
_cell_length_b 5.159
_cell_length_c 6.389
_cell_angle_alpha 113.81
_cell_angle_beta 107.00
_cell_angle_gamma 90.00
_space_group_name_H-M_alt 'P 1'
_space_group_IT_number 1
loop_
_space_group_symop_operation_xyz
'x,y,z'
loop_
_atom_site_label
_atom_site_fract_x
_atom_site_fract_y
_atom_site_fract_z
_atom_site_occupancy
Sc1 0.529 0.529 0.059 1
Y1 0.976 0.976 0.952 1
Y2 0.754 0.254 0.508 1
Tl1 0.240 0.740 0.481 1
# Space-group type: No. 44
# E_form, eV per atom: -0.233



# Y2ScTl | Alexandria | GGA-PBEsol | relaxed
data_Y2ScTl
_chemical_formula_sum 'Y2 Sc1 Tl1'
_cell_length_a 3.487
_cell_length_b 3.487
_cell_length_c 8.768
_cell_angle_alpha 90.00
_cell_angle_beta 90.00
_cell_angle_gamma 90.00
_space_group_name_H-M_alt 'P 1'
_space_group_IT_number 1
loop_
_space_group_symop_operation_xyz
'x,y,z'
loop_
_atom_site_label
_atom_site_fract_x
_atom_site_fract_y
_atom_site_fract_z
_atom_site_occupancy
Y1 0.000 0.000 0.977 1
Y2 0.500 0.500 0.266 1
Tl1 0.500 0.500 0.733 1
Sc1 0.000 0.000 0.524 1
# Space-group type: No. 99
# E_form, eV per atom: -0.198



# Y2ScTl | Alexandria | GGA-PBEsol | relaxed
data_Y2ScTl
_chemical_formula_sum 'Y2 Sc1 Tl1'
_cell_length_a 4.558
_cell_length_b 4.558
_cell_length_c 5.909
_cell_angle_alpha 112.69
_cell_angle_beta 112.69
_cell_angle_gamma 90.00
_space_group_name_H-M_alt 'P 1'
_space_group_IT_number 1
loop_
_space_group_symop_operation_xyz
'x,y,z'
loop_
_atom_site_label
_atom_site_fract_x
_atom_site_fract_y
_atom_site_fract_z
_atom_site_occupancy
Y1 0.750 0.250 0.500 1
Y2 0.000 0.000 0.000 1
Tl1 0.250 0.750 0.500 1
Sc1 0.500 0.500 0.000 1
# Space-group type: No. 119
# E_form, eV per atom: -0.193



# Y2ScTl | Alexandria | GGA-PBEsol | relaxed
data_Y2ScTl
_chemical_formula_sum 'Y2 Sc1 Tl1'
_cell_length_a 3.567
_cell_length_b 4.496
_cell_length_c 6.546
_cell_angle_alpha 90.00
_cell_angle_beta 90.00
_cell_angle_gamma 90.00
_space_group_name_H-M_alt 'P 1'
_space_group_IT_number 1
loop_
_space_group_symop_operation_xyz
'x,y,z'
loop_
_atom_site_label
_atom_site_fract_x
_atom_site_fract_y
_atom_site_fract_z
_atom_site_occupancy
Y1 0.000 0.000 0.748 1
Y2 0.000 0.000 0.252 1
Sc1 0.500 0.500 0.000 1
Tl1 0.500 0.500 0.500 1
# Space-group type: No. 47
# E_form, eV per atom: -0.218



# Y2ScTl | Alexandria | GGA-PBEsol | relaxed
data_Y2ScTl
_chemical_formula_sum 'Y2 Sc1 Tl1'
_cell_length_a 4.666
_cell_length_b 4.666
_cell_length_c 4.676
_cell_angle_alpha 90.00
_cell_angle_beta 90.00
_cell_angle_gamma 90.00
_space_group_name_H-M_alt 'P 1'
_space_group_IT_number 1
loop_
_space_group_symop_operation_xyz
'x,y,z'
loop_
_atom_site_label
_atom_site_fract_x
_atom_site_fract_y
_atom_site_fract_z
_atom_site_occupancy
Y1 0.500 0.000 0.000 1
Y2 0.000 0.500 0.000 1
Sc1 0.500 0.500 0.500 1
Tl1 0.000 0.000 0.500 1
# Space-group type: No. 123
# E_form, eV per atom: -0.239